No. 1
Li2Y2In2CuAu | PBE | optimized geometry

a b c (Å): 4.793 4.793 6.808
angles (deg): 90.00 90.00 90.00
Space group P-4m2 (No. 115)
Symmetry-distinct sites (fractional):
Li  0.000  0.000  0.000 x1
Li  0.500  0.500  0.500 x1
Y  0.000  0.500  0.743 x2
In  0.000  0.500  0.259 x2
Cu  0.000  0.000  0.500 x1
Au  0.500  0.500  0.000 x1

Properties
E_tot   -33.24 eV per cell

=====

No. 2
Ag2Se | PBE | optimized geometry

a b c (Å): 8.619 13.048 4.392
angles (deg): 90.00 90.00 90.00
Space group Fdd2 (No. 43)
Symmetry-distinct sites (fractional):
Ag  0.069  0.314  0.000 x16
Se  0.000  0.000  0.209 x8

Properties
E_tot   -74.46 eV per cell

=====

No. 3
SrSmH2Cl2 | PBE | optimized geometry

a b c (Å): 3.878 3.878 7.246
angles (deg): 90.00 90.00 90.00
Space group P4mm (No. 99)
Symmetry-distinct sites (fractional):
Sr  0.000  0.000  0.000 x1
Sm  0.500  0.500  0.603 x1
H  0.000  0.500  0.788 x2
Cl  0.000  0.000  0.458 x1
Cl  0.500  0.500  0.169 x1

Properties
E_tot   -24.76 eV per cell

=====

No. 4
SiAg2HgSe2S2 | PBE | optimized geometry

a b c (Å): 8.152 8.299 11.752
angles (deg): 90.00 90.00 90.00
Space group Fmm2 (No. 42)
Symmetry-distinct sites (fractional):
Si  0.000  0.000  0.000 x4
Ag  0.250  0.250  0.271 x8
Hg  0.000  0.000  0.514 x4
Se  0.000  0.217  0.125 x8
S  0.215  0.000  0.893 x8

Properties
E_tot   -115.72 eV per cell